Record 1
Density functional theory data (GGA-PBEsol) for a relaxed CdAg2Rh crystal.

Lattice parameters (Å, degrees): 2.849 2.849 8.015 90.00 90.00 90.00
Space group P4/mmm (No. 123)
Asymmetric unit:
Cd1 0.000 0.000 0.000 x1
Ag1 0.500 0.500 0.262 x2
Rh1 0.000 0.000 0.500 x1

---

Record 2
Density functional theory data (GGA-PBEsol) for a relaxed CdIn crystal.

Lattice parameters (Å, degrees): 5.904 5.904 5.904 90.00 90.00 90.00
Space group Fm-3m (No. 225)
Asymmetric unit:
Cd1 0.000 0.000 0.000 x4
In1 0.000 0.000 0.500 x4

---

Number 1: total DFT energy (no corrections) -15.375 eV per cell, DOS(E_F) 0.886 states/eV per atom, ΔE_f 0.15 eV per atom. Number 2: total DFT energy (no corrections) -15.557 eV per cell, DOS(E_F) 0.415 states/eV per atom, ΔE_f 0.15 eV per atom.